#one
## NbP2RuO (PBE)

Data for crystalline NbP2RuO at its relaxed geometry.

* calculated volume: 81 Å³/cell
* crystal system: tetragonal

The structure in POSCAR format:
```
NbP2RuO
1.0
4.742 0.000 0.000
0.000 4.742 0.000
0.000 0.000 3.604
Nb P Ru O
1 2 1 1
Direct
0.000 0.000 0.000 Nb
0.000 0.500 0.500 P
0.500 0.000 0.500 P
0.500 0.500 0.500 Ru
0.500 0.500 0.000 O
```


#two
## NbP2RuO (PBE)

Data for crystalline NbP2RuO at its relaxed geometry.

* calculated volume: 92 Å³/cell
* crystal system: tetragonal

The structure in POSCAR format:
```
NbP2RuO
1.0
4.907 0.000 0.000
0.000 4.907 0.000
0.000 0.000 3.800
Nb P Ru O
1 2 1 1
Direct
0.000 0.000 0.000 Nb
0.000 0.500 0.000 P
0.500 0.000 0.000 P
0.500 0.500 0.500 Ru
0.000 0.000 0.500 O
```


Preferred: #two; penalty for the next structure: 0.035 eV/atom.


#one
## NbPS2O (PBE)

Data for crystalline NbPS2O at its relaxed geometry.

* calculated volume: 108 Å³/cell
* crystal system: tetragonal

The structure in POSCAR format:
```
NbPS2O
1.0
4.666 0.000 0.000
0.000 4.666 0.000
0.000 0.000 4.981
Nb P S O
1 1 2 1
Direct
0.000 0.000 0.000 Nb
0.000 0.000 0.500 P
0.000 0.500 0.000 S
0.500 0.000 0.000 S
0.500 0.500 0.500 O
```


#two
## NbPS2O (PBE)

Data for crystalline NbPS2O at its relaxed geometry.

* calculated volume: 71 Å³/cell
* crystal system: tetragonal

The structure in POSCAR format:
```
NbPS2O
1.0
4.302 0.000 0.000
0.000 4.302 0.000
0.000 0.000 3.862
Nb P S O
1 1 2 1
Direct
0.000 0.000 0.000 Nb
0.500 0.500 0.000 P
0.000 0.500 0.500 S
0.500 0.000 0.500 S
0.500 0.500 0.500 O
```


Preferred: #two; penalty for the next structure: 0.204 eV/atom.


#one
## NbP2SO (PBE)

Data for crystalline NbP2SO at its relaxed geometry.

* calculated volume: 109 Å³/cell
* crystal system: tetragonal

The structure in POSCAR format:
```
NbP2SO
1.0
4.842 0.000 0.000
0.000 4.842 0.000
0.000 0.000 4.642
Nb P S O
1 2 1 1
Direct
0.000 0.000 0.000 Nb
0.000 0.500 0.000 P
0.500 0.000 0.000 P
0.000 0.000 0.500 S
0.500 0.500 0.500 O
```


#two
## NbP2SO (PBE)

Data for crystalline NbP2SO at its relaxed geometry.

* calculated volume: 73 Å³/cell
* crystal system: tetragonal

The structure in POSCAR format:
```
NbP2SO
1.0
3.746 0.000 0.000
0.000 3.746 0.000
0.000 0.000 5.210
Nb P S O
1 2 1 1
Direct
0.000 0.000 0.000 Nb
0.000 0.500 0.500 P
0.500 0.000 0.500 P
0.500 0.500 0.000 S
0.500 0.500 0.500 O
```


Preferred: #two; penalty for the next structure: 0.540 eV/atom.


#one
## NbP2SO (PBE)

Data for crystalline NbP2SO at its relaxed geometry.

* calculated volume: 72 Å³/cell
* crystal system: tetragonal

The structure in POSCAR format:
```
NbP2SO
1.0
4.592 0.000 0.000
0.000 4.592 0.000
0.000 0.000 3.429
Nb P S O
1 2 1 1
Direct
0.000 0.000 0.000 Nb
0.000 0.500 0.500 P
0.500 0.000 0.500 P
0.500 0.500 0.500 S
0.500 0.500 0.000 O
```


#two
## NbP2SO (PBE)

Data for crystalline NbP2SO at its relaxed geometry.

* calculated volume: 95 Å³/cell
* crystal system: tetragonal

The structure in POSCAR format:
```
NbP2SO
1.0
4.954 0.000 0.000
0.000 4.954 0.000
0.000 0.000 3.859
Nb P S O
1 2 1 1
Direct
0.000 0.000 0.000 Nb
0.000 0.500 0.000 P
0.500 0.000 0.000 P
0.500 0.500 0.500 S
0.000 0.000 0.500 O
```


Preferred: #two; penalty for the next structure: 0.371 eV/atom.


#one
## NbSbPO2 (PBE)

Data for crystalline NbSbPO2 at its relaxed geometry.

* calculated volume: 85 Å³/cell
* crystal system: tetragonal

The structure in POSCAR format:
```
NbSbPO2
1.0
3.959 0.000 0.000
0.000 3.959 0.000
0.000 0.000 5.429
Nb Sb P O
1 1 1 2
Direct
0.000 0.000 0.000 Nb
0.500 0.500 0.500 Sb
0.000 0.000 0.500 P
0.000 0.500 0.000 O
0.500 0.000 0.000 O
```


#two
## NbSbPO2 (PBE)

Data for crystalline NbSbPO2 at its relaxed geometry.

* calculated volume: 83 Å³/cell
* crystal system: tetragonal

The structure in POSCAR format:
```
NbSbPO2
1.0
3.940 0.000 0.000
0.000 3.940 0.000
0.000 0.000 5.351
Nb Sb P O
1 1 1 2
Direct
0.000 0.000 0.000 Nb
0.500 0.500 0.500 Sb
0.500 0.500 0.000 P
0.000 0.500 0.500 O
0.500 0.000 0.500 O
```


Preferred: #one; penalty for the next structure: 0.944 eV/atom.


#one
## ScNbPO2 (PBE)

Data for crystalline ScNbPO2 at its relaxed geometry.

* calculated volume: 80 Å³/cell
* crystal system: tetragonal

The structure in POSCAR format:
```
ScNbPO2
1.0
3.927 0.000 0.000
0.000 3.927 0.000
0.000 0.000 5.197
Sc Nb P O
1 1 1 2
Direct
0.000 0.000 0.000 Sc
0.500 0.500 0.500 Nb
0.500 0.500 0.000 P
0.000 0.500 0.500 O
0.500 0.000 0.500 O
```


#two
## ScNbPO2 (PBE)

Data for crystalline ScNbPO2 at its relaxed geometry.

* calculated volume: 80 Å³/cell
* crystal system: tetragonal

The structure in POSCAR format:
```
ScNbPO2
1.0
3.885 0.000 0.000
0.000 3.885 0.000
0.000 0.000 5.276
Sc Nb P O
1 1 1 2
Direct
0.000 0.000 0.000 Sc
0.500 0.500 0.500 Nb
0.000 0.000 0.500 P
0.000 0.500 0.000 O
0.500 0.000 0.000 O
```


Preferred: #one; penalty for the next structure: 0.676 eV/atom.


#one
## ScNbP2O (PBE)

Data for crystalline ScNbP2O at its relaxed geometry.

* calculated volume: 93 Å³/cell
* crystal system: tetragonal

The structure in POSCAR format:
```
ScNbP2O
1.0
4.908 0.000 0.000
0.000 4.908 0.000
0.000 0.000 3.863
Sc Nb P O
1 1 2 1
Direct
0.000 0.000 0.000 Sc
0.500 0.500 0.500 Nb
0.000 0.500 0.500 P
0.500 0.000 0.500 P
0.500 0.500 0.000 O
```


#two
## ScNbP2O (PBE)

Data for crystalline ScNbP2O at its relaxed geometry.

* calculated volume: 91 Å³/cell
* crystal system: tetragonal

The structure in POSCAR format:
```
ScNbP2O
1.0
4.924 0.000 0.000
0.000 4.924 0.000
0.000 0.000 3.758
Sc Nb P O
1 1 2 1
Direct
0.000 0.000 0.000 Sc
0.500 0.500 0.500 Nb
0.000 0.500 0.000 P
0.500 0.000 0.000 P
0.000 0.000 0.500 O
```


Preferred: #one; penalty for the next structure: 0.733 eV/atom.


#one
## NbP2SeO (PBE)

Data for crystalline NbP2SeO at its relaxed geometry.

* calculated volume: 83 Å³/cell
* crystal system: tetragonal

The structure in POSCAR format:
```
NbP2SeO
1.0
4.746 0.000 0.000
0.000 4.746 0.000
0.000 0.000 3.663
Nb P Se O
1 2 1 1
Direct
0.000 0.000 0.000 Nb
0.000 0.500 0.500 P
0.500 0.000 0.500 P
0.500 0.500 0.500 Se
0.500 0.500 0.000 O
```


#two
## NbP2SeO (PBE)

Data for crystalline NbP2SeO at its relaxed geometry.

* calculated volume: 96 Å³/cell
* crystal system: tetragonal

The structure in POSCAR format:
```
NbP2SeO
1.0
4.981 0.000 0.000
0.000 4.981 0.000
0.000 0.000 3.864
Nb P Se O
1 2 1 1
Direct
0.000 0.000 0.000 Nb
0.000 0.500 0.000 P
0.500 0.000 0.000 P
0.500 0.500 0.500 Se
0.000 0.000 0.500 O
```


Preferred: #two; penalty for the next structure: 0.722 eV/atom.


#one
## NbPSeO2 (PBE)

Data for crystalline NbPSeO2 at its relaxed geometry.

* calculated volume: 73 Å³/cell
* crystal system: tetragonal

The structure in POSCAR format:
```
NbPSeO2
1.0
3.817 0.000 0.000
0.000 3.817 0.000
0.000 0.000 5.013
Nb P Se O
1 1 1 2
Direct
0.000 0.000 0.000 Nb
0.500 0.500 0.000 P
0.500 0.500 0.500 Se
0.000 0.500 0.500 O
0.500 0.000 0.500 O
```


#two
## NbPSeO2 (PBE)

Data for crystalline NbPSeO2 at its relaxed geometry.

* calculated volume: 84 Å³/cell
* crystal system: tetragonal

The structure in POSCAR format:
```
NbPSeO2
1.0
3.865 0.000 0.000
0.000 3.865 0.000
0.000 0.000 5.609
Nb P Se O
1 1 1 2
Direct
0.000 0.000 0.000 Nb
0.000 0.000 0.500 P
0.500 0.500 0.500 Se
0.000 0.500 0.000 O
0.500 0.000 0.000 O
```


Preferred: #two; penalty for the next structure: 1.205 eV/atom.


#one
## NbSiP2O (PBE)

Data for crystalline NbSiP2O at its relaxed geometry.

* calculated volume: 73 Å³/cell
* crystal system: tetragonal

The structure in POSCAR format:
```
NbSiP2O
1.0
4.734 0.000 0.000
0.000 4.734 0.000
0.000 0.000 3.263
Nb Si P O
1 1 2 1
Direct
0.000 0.000 0.000 Nb
0.500 0.500 0.500 Si
0.000 0.500 0.500 P
0.500 0.000 0.500 P
0.500 0.500 0.000 O
```


#two
## NbSiP2O (PBE)

Data for crystalline NbSiP2O at its relaxed geometry.

* calculated volume: 94 Å³/cell
* crystal system: tetragonal

The structure in POSCAR format:
```
NbSiP2O
1.0
4.944 0.000 0.000
0.000 4.944 0.000
0.000 0.000 3.856
Nb Si P O
1 1 2 1
Direct
0.000 0.000 0.000 Nb
0.500 0.500 0.500 Si
0.000 0.500 0.000 P
0.500 0.000 0.000 P
0.000 0.000 0.500 O
```


Preferred: #one; penalty for the next structure: 0.086 eV/atom.


#one
## NbSnP2O (PBE)

Data for crystalline NbSnP2O at its relaxed geometry.

* calculated volume: 97 Å³/cell
* crystal system: tetragonal

The structure in POSCAR format:
```
NbSnP2O
1.0
5.024 0.000 0.000
0.000 5.024 0.000
0.000 0.000 3.850
Nb Sn P O
1 1 2 1
Direct
0.000 0.000 0.000 Nb
0.500 0.500 0.500 Sn
0.000 0.500 0.500 P
0.500 0.000 0.500 P
0.500 0.500 0.000 O
```


#two
## NbSnP2O (PBE)

Data for crystalline NbSnP2O at its relaxed geometry.

* calculated volume: 98 Å³/cell
* crystal system: tetragonal

The structure in POSCAR format:
```
NbSnP2O
1.0
5.005 0.000 0.000
0.000 5.005 0.000
0.000 0.000 3.905
Nb Sn P O
1 1 2 1
Direct
0.000 0.000 0.000 Nb
0.500 0.500 0.500 Sn
0.000 0.500 0.000 P
0.500 0.000 0.000 P
0.000 0.000 0.500 O
```


Preferred: #two; penalty for the next structure: 1.082 eV/atom.


#one
## SrNbP2O (PBE)

Data for crystalline SrNbP2O at its relaxed geometry.

* calculated volume: 112 Å³/cell
* crystal system: tetragonal

The structure in POSCAR format:
```
SrNbP2O
1.0
5.292 0.000 0.000
0.000 5.292 0.000
0.000 0.000 3.993
Sr Nb P O
1 1 2 1
Direct
0.000 0.000 0.000 Sr
0.500 0.500 0.500 Nb
0.000 0.500 0.000 P
0.500 0.000 0.000 P
0.000 0.000 0.500 O
```


#two
## SrNbP2O (PBE)

Data for crystalline SrNbP2O at its relaxed geometry.

* calculated volume: 101 Å³/cell
* crystal system: tetragonal

The structure in POSCAR format:
```
SrNbP2O
1.0
5.014 0.000 0.000
0.000 5.014 0.000
0.000 0.000 4.009
Sr Nb P O
1 1 2 1
Direct
0.000 0.000 0.000 Sr
0.500 0.500 0.500 Nb
0.000 0.500 0.500 P
0.500 0.000 0.500 P
0.500 0.500 0.000 O
```


Preferred: #two; penalty for the next structure: 2.153 eV/atom.


#one
## TaNbPO2 (PBE)

Data for crystalline TaNbPO2 at its relaxed geometry.

* calculated volume: 81 Å³/cell
* crystal system: tetragonal

The structure in POSCAR format:
```
TaNbPO2
1.0
3.850 0.000 0.000
0.000 3.850 0.000
0.000 0.000 5.490
Ta Nb P O
1 1 1 2
Direct
0.000 0.000 0.000 Ta
0.500 0.500 0.500 Nb
0.500 0.500 0.000 P
0.000 0.500 0.500 O
0.500 0.000 0.500 O
```


#two
## TaNbPO2 (PBE)

Data for crystalline TaNbPO2 at its relaxed geometry.

* calculated volume: 80 Å³/cell
* crystal system: tetragonal

The structure in POSCAR format:
```
TaNbPO2
1.0
3.863 0.000 0.000
0.000 3.863 0.000
0.000 0.000 5.334
Ta Nb P O
1 1 1 2
Direct
0.000 0.000 0.000 Ta
0.500 0.500 0.500 Nb
0.000 0.000 0.500 P
0.000 0.500 0.000 O
0.500 0.000 0.000 O
```


Preferred: #two; penalty for the next structure: 0.342 eV/atom.


#one
## TiNbPO2 (PBE)

Data for crystalline TiNbPO2 at its relaxed geometry.

* calculated volume: 73 Å³/cell
* crystal system: tetragonal

The structure in POSCAR format:
```
TiNbPO2
1.0
3.737 0.000 0.000
0.000 3.737 0.000
0.000 0.000 5.255
Ti Nb P O
1 1 1 2
Direct
0.000 0.000 0.000 Ti
0.500 0.500 0.500 Nb
0.000 0.000 0.500 P
0.000 0.500 0.000 O
0.500 0.000 0.000 O
```


#two
## TiNbPO2 (PBE)

Data for crystalline TiNbPO2 at its relaxed geometry.

* calculated volume: 80 Å³/cell
* crystal system: tetragonal

The structure in POSCAR format:
```
TiNbPO2
1.0
3.887 0.000 0.000
0.000 3.887 0.000
0.000 0.000 5.300
Ti Nb P O
1 1 1 2
Direct
0.000 0.000 0.000 Ti
0.500 0.500 0.500 Nb
0.500 0.500 0.000 P
0.000 0.500 0.500 O
0.500 0.000 0.500 O
```


Preferred: #two; penalty for the next structure: 0.014 eV/atom.